No. 1
This record from Alexandria via LeMat-Bulk describes a relaxed ErTlP2O8 crystal. The functional is PBE.

Computed properties:
SG   No. 119

a b c (Å): 5.7872 5.7872 5.7872
angles (deg): 105.73 105.73 117.24
Last column: nearest neighbours and their distance in Å.
Positions (direct):
O 0.4948 0.6656 0.8292  1 P 1.56
O 0.9107 0.2352 0.3246  1 P 1.56
Tl 0.2500 0.7500 0.5000  8 O 2.36-2.38
O 0.9107 0.5861 0.6754  1 P 1.56
O 0.3344 0.5052 0.1708  1 P 1.56
O 0.7648 0.0893 0.6754  1 P 1.56
O 0.3344 0.1636 0.8292  1 P 1.56
O 0.4139 0.0893 0.3246  1 P 1.56
Er 0.0000 0.0000 0.0000  8 O 2.33-2.34
O 0.8364 0.6656 0.1708  1 P 1.56
P 0.5000 0.5000 0.0000  4 O 1.56
P 0.7500 0.2500 0.5000  4 O 1.56


No. 2
This record from Alexandria via LeMat-Bulk describes a relaxed ErPa2O7 crystal. The functional is PBE.

Computed properties:
SG   No. 166

a b c (Å): 3.8720 3.8720 10.6391
angles (deg): 79.52 79.52 60.00
Last column: nearest neighbours and their distance in Å.
Positions (direct):
O 0.8600 0.8600 0.4199  1 Pa 2.20, 3 Er 2.39
O 0.1400 0.1400 0.5801  1 Pa 2.20, 3 Er 2.39
O 0.7189 0.7189 0.8432  3 Pa 2.30, 3 O 2.55
Pa 0.0696 0.0696 0.7913  8 O 2.17-2.34
O 0.5747 0.5747 0.2758  1 Er 2.33, 3 Pa 2.34, 3 O 2.55
O 0.4253 0.4253 0.7242  1 Er 2.33, 3 Pa 2.34, 3 O 2.55
O 0.0000 0.0000 0.0000  2 Pa 2.17
Pa 0.9304 0.9304 0.2087  8 O 2.17-2.34
Er 0.5000 0.5000 0.5000  8 O 2.33-2.39
O 0.2811 0.2811 0.1568  3 Pa 2.30, 3 O 2.55


No. 3
This record from Alexandria via LeMat-Bulk describes a relaxed Er2PaO crystal. The functional is PBE.

Computed properties:
SG   No. 166

a b c (Å): 3.2629 3.2629 9.4748
angles (deg): 80.08 80.08 60.00
Last column: nearest neighbours and their distance in Å.
Positions (direct):
O 0.5000 0.5000 0.5000  6 Er 2.36
Er 0.1156 0.1156 0.6533  3 O 2.36
Pa 0.0000 0.0000 0.0000  2 Er 3.22, 6 Pa 3.26
Er 0.8844 0.8844 0.3467  3 O 2.36


No. 4
This record from Alexandria via LeMat-Bulk describes a relaxed ErPaO4 crystal. The functional is PBE.

Computed properties:
SG   No. 141

a b c (Å): 5.3667 5.3667 6.5722
angles (deg): 114.10 114.10 90.00
Last column: nearest neighbours and their distance in Å.
Positions (direct):
Pa 0.2500 0.7500 0.5000  8 O 2.30
O 0.8750 0.8669 0.2500  2 Pa 2.30, 2 Er 2.35
O 0.3750 0.3831 0.2500  2 Pa 2.30, 2 Er 2.35
O 0.8750 0.3831 0.2500  2 Pa 2.30, 2 Er 2.35
O 0.3750 0.8669 0.2500  2 Pa 2.30, 2 Er 2.35
Er 0.7500 0.2500 0.5000  8 O 2.35
O 0.6169 0.6250 0.7500  2 Pa 2.30, 2 Er 2.35
O 0.6169 0.1250 0.7500  2 Pa 2.30, 2 Er 2.35
O 0.1331 0.6250 0.7500  2 Pa 2.30, 2 Er 2.35
O 0.1331 0.1250 0.7500  2 Pa 2.30, 2 Er 2.35
Pa 0.5000 0.5000 0.0000  8 O 2.30
Er 0.0000 0.0000 0.0000  8 O 2.35


Here are the calculated calculated total energy numbers, same order: -84.9, -92.0, -27.9, -56.3 (eV per formula unit).
Here are the calculated D(E_F) numbers, same order: 0.000, 6.577, 5.012, 0.000 (states/eV/cell).